[1]
AsIr2PdBr (PBE, relaxed); theoretical density = 9.4 g cm⁻³; space group = P4/mmm (123); formation energy from raw total energies = 162 kJ/mol of atoms
1.0
5.011 0.000 0.000
0.000 4.529 0.000
0.000 0.000 5.011
As Ir Br Pd
1 2 1 1
Cartesian
0.000 2.265 0.000
0.000 0.000 2.505
2.505 0.000 0.000
2.505 2.265 2.505
0.000 0.000 0.000


[2]
LiLuInHg (PBE, relaxed); energy relative to the elements = -0.383 eV per atom; theoretical density = 9.3 g cm⁻³; space group = F-43m (216)
1.0
-2.366 3.810 -2.220
-2.358 -0.715 -4.355
-5.000 0.076 -0.180
Lu Li Hg In
1 1 1 1
Cartesian
-4.862 1.586 -3.378
0.000 0.000 0.000
-7.293 2.379 -5.067
-2.431 0.793 -1.689


[3]
NaPdRuF6 (PBE, relaxed); theoretical density = 4.5 g cm⁻³; space group = P-31c (163); formation energy from raw total energies = -166 kJ/mol of atoms
1.0
-4.795 2.123 2.025
-0.112 -4.551 -3.297
0.748 -5.414 7.446
Na Pd Ru F
2 2 2 12
Cartesian
-1.486 -3.680 0.338
-2.673 -4.162 5.835
0.000 0.000 0.000
0.374 -2.707 3.723
-3.047 -1.455 2.112
-1.112 -6.387 4.061
-3.169 -2.136 0.250
-4.542 -0.182 1.808
-1.235 -7.067 2.199
0.383 -7.660 4.365
-1.553 -2.729 2.416
-4.394 -2.818 2.637
-2.459 -7.750 4.585
-2.923 -0.774 3.975
0.235 -5.024 3.537
-1.700 -0.092 1.589
-2.606 -5.113 3.758
-0.989 -5.706 5.924